LaReRu4 (PBE, optimized geometry); crystal system = cubic
1.0
0.000 3.710 3.710
3.710 0.000 3.710
3.710 3.710 0.000
La Re Ru
1 1 4
Cartesian
5.565 5.565 5.565
0.000 0.000 0.000
2.779 4.642 4.642
4.642 4.642 2.779
4.642 2.779 4.642
2.779 2.779 2.779



LaRe2Ru (PBE, optimized geometry); crystal system = tetragonal; energy relative to the lowest polymorph listed for this composition = 514 meV/atom
1.0
-4.266 1.133 3.488
-4.960 -2.615 -0.457
5.489 -1.219 0.193
La Re Ru
1 2 1
Cartesian
-1.695 -0.413 2.598
0.000 0.000 0.000
-4.613 -0.741 1.515
-2.042 -2.287 0.625



Energy of formation from the pure elements across the listed records, respectively: 2.6; 3.1 eV/f.u..